No. 1
The following is a PBE calculation of a geometry-optimized Rb2MoP2 structure, from the Open Quantum Materials Database.

Results
* crystal system: orthorhombic

a = 8.901 Å, b = 8.901 Å, c = 5.313 Å
α = 90.00°, β = 90.00°, γ = 135.36°
Positions (direct):
Rb 0.081 0.919 0.750
Rb 0.281 0.719 0.250
Rb 0.719 0.281 0.750
Rb 0.919 0.081 0.250
Mo 0.500 0.500 0.000
Mo 0.500 0.500 0.500
P 0.223 0.447 0.750
P 0.447 0.223 0.250
P 0.553 0.777 0.750
P 0.777 0.553 0.250

No. 2
The following is a PBE calculation of a geometry-optimized Ag2SnHgTe3Se structure, from the Open Quantum Materials Database.

Results
* crystal system: monoclinic

a = 6.425 Å, b = 6.425 Å, c = 7.820 Å
α = 113.84°, β = 113.84°, γ = 90.41°
Positions (direct):
Ag 0.239 0.761 0.000
Ag 0.761 0.239 0.000
Sn 0.001 0.001 0.481
Hg 0.489 0.489 0.487
Te 0.370 0.881 0.748
Te 0.621 0.621 0.225
Te 0.881 0.370 0.748
Se 0.114 0.114 0.237

| no. | calculated total energy (eV per atom) |
| --- | --- |
| 1 | -4.86 |
| 2 | -3.03 |